Record 1
# ZrNbP2S

Crystalline ZrNbP2S at its relaxed geometry (GGA-PBE, the Alexandria database). Values from VASP.

Computed properties:
space-group type: P4/mmm (123)
ΔE_f (raw): 589 meV/atom

Structure (Quantum ESPRESSO input):
```
&SYSTEM
  ibrav = 0, nat = 5, ntyp = 4
/
ATOMIC_SPECIES
P 30.97 P.upf
Nb 92.91 Nb.upf
S 32.06 S.upf
Zr 91.22 Zr.upf
ATOMIC_POSITIONS crystal
P 0.000 0.500 0.000
P 0.500 0.000 0.000
Nb 0.500 0.500 0.500
S 0.000 0.000 0.500
Zr 0.000 0.000 0.000
CELL_PARAMETERS angstrom
-3.459 0.403 -3.500
3.370 -1.055 -3.451
-0.996 -4.654 0.449
```


Record 2
# ZrNbPS2

Crystalline ZrNbPS2 at its relaxed geometry (GGA-PBE, the Alexandria database). Values from VASP.

Computed properties:
space-group type: P4/mmm (123)
ΔE_f (raw): 200 meV/atom

Structure (Quantum ESPRESSO input):
```
&SYSTEM
  ibrav = 0, nat = 5, ntyp = 4
/
ATOMIC_SPECIES
P 30.97 P.upf
Nb 92.91 Nb.upf
S 32.06 S.upf
Zr 91.22 Zr.upf
ATOMIC_POSITIONS crystal
P 0.000 0.000 0.500
Nb 0.500 0.500 0.500
S 0.000 0.500 0.000
S 0.500 0.000 0.000
Zr 0.000 0.000 0.000
CELL_PARAMETERS angstrom
-3.130 -3.713 0.143
3.369 -2.915 -1.938
1.629 -1.195 4.630
```


Record 3
# ZrNbPS2

Crystalline ZrNbPS2 at its relaxed geometry (GGA-PBE, the Alexandria database). Values from VASP.

Computed properties:
space-group type: P4/mmm (123)
ΔE_f (raw): -101 meV/atom

Structure (Quantum ESPRESSO input):
```
&SYSTEM
  ibrav = 0, nat = 5, ntyp = 4
/
ATOMIC_SPECIES
P 30.97 P.upf
Nb 92.91 Nb.upf
S 32.06 S.upf
Zr 91.22 Zr.upf
ATOMIC_POSITIONS crystal
P 0.000 0.000 0.500
Nb 0.000 0.000 0.000
S 0.000 0.500 0.000
S 0.500 0.000 0.000
Zr 0.500 0.500 0.500
CELL_PARAMETERS angstrom
-2.651 0.251 3.862
-0.312 -4.680 0.089
4.008 -0.214 2.765
```


Record 4
# NbSbP

Crystalline NbSbP at its relaxed geometry (GGA-PBE, the Alexandria database). Values from VASP.

Computed properties:
space-group type: I4mm (107)
ΔE_f (raw): -310 meV/atom

Structure (Quantum ESPRESSO input):
```
&SYSTEM
  ibrav = 0, nat = 6, ntyp = 3
/
ATOMIC_SPECIES
Nb 92.91 Nb.upf
Sb 121.76 Sb.upf
P 30.97 P.upf
ATOMIC_POSITIONS crystal
Nb 0.000 0.000 0.117
Nb 0.500 0.500 0.617
Sb 0.000 0.000 0.429
Sb 0.500 0.500 0.929
P 0.000 0.000 0.721
P 0.500 0.500 0.221
CELL_PARAMETERS angstrom
3.388 0.000 0.000
0.000 3.388 0.000
0.000 0.000 9.783
```


Record 5
# NbSbP

Crystalline NbSbP at its relaxed geometry (GGA-PBE, the Alexandria database). Values from VASP.

Computed properties:
space-group type: P2_1/m (11)
ΔE_f (raw): -302 meV/atom

Structure (Quantum ESPRESSO input):
```
&SYSTEM
  ibrav = 0, nat = 6, ntyp = 3
/
ATOMIC_SPECIES
Nb 92.91 Nb.upf
Sb 121.76 Sb.upf
P 30.97 P.upf
ATOMIC_POSITIONS crystal
Nb 0.302 0.250 0.607
Nb 0.698 0.750 0.393
Sb 0.744 0.250 0.055
Sb 0.256 0.750 0.945
P 0.811 0.250 0.637
P 0.189 0.750 0.363
CELL_PARAMETERS angstrom
-3.473 1.220 3.294
-0.082 -3.562 1.232
6.219 0.945 3.147
```


Record 6
# NbSbP

Crystalline NbSbP at its relaxed geometry (GGA-PBE, the Alexandria database). Values from VASP.

Computed properties:
space-group type: P-1 (2)
ΔE_f (raw): -286 meV/atom

Structure (Quantum ESPRESSO input):
```
&SYSTEM
  ibrav = 0, nat = 6, ntyp = 3
/
ATOMIC_SPECIES
Nb 92.91 Nb.upf
Sb 121.76 Sb.upf
P 30.97 P.upf
ATOMIC_POSITIONS crystal
Nb 0.717 0.618 0.320
Nb 0.283 0.382 0.680
Sb 0.574 0.756 0.820
Sb 0.426 0.244 0.180
P 0.109 0.814 0.391
P 0.891 0.186 0.609
CELL_PARAMETERS angstrom
-3.465 -2.247 -1.950
1.271 -2.617 -4.446
1.073 -5.067 2.297
```


Record 7
# NbSb3P

Crystalline NbSb3P at its relaxed geometry (GGA-PBE, the Alexandria database). Values from VASP.

Computed properties:
space-group type: Pm-3m (221)
ΔE_f (raw): 756 meV/atom

Structure (Quantum ESPRESSO input):
```
&SYSTEM
  ibrav = 0, nat = 5, ntyp = 3
/
ATOMIC_SPECIES
Sb 121.76 Sb.upf
Nb 92.91 Nb.upf
P 30.97 P.upf
ATOMIC_POSITIONS crystal
Sb 0.000 0.500 0.000
Sb 0.000 0.000 0.500
Sb 0.500 0.000 0.000
Nb 0.000 0.000 0.000
P 0.500 0.500 0.500
CELL_PARAMETERS angstrom
5.322 0.000 0.000
0.000 5.322 0.000
0.000 0.000 5.322
```


Record 8
# NbSbP

Crystalline NbSbP at its relaxed geometry (GGA-PBE, the Alexandria database). Values from VASP.

Computed properties:
space-group type: Immm (71)
ΔE_f (raw): -454 meV/atom

Structure (Quantum ESPRESSO input):
```
&SYSTEM
  ibrav = 0, nat = 12, ntyp = 3
/
ATOMIC_SPECIES
Nb 92.91 Nb.upf
Sb 121.76 Sb.upf
P 30.97 P.upf
ATOMIC_POSITIONS crystal
Nb 0.109 0.500 0.000
Nb 0.891 0.500 0.000
Nb 0.609 0.000 0.500
Nb 0.391 0.000 0.500
Sb 0.284 0.000 0.000
Sb 0.716 0.000 0.000
Sb 0.784 0.500 0.500
Sb 0.216 0.500 0.500
P 0.000 0.000 0.266
P 0.000 0.000 0.734
P 0.500 0.500 0.766
P 0.500 0.500 0.234
CELL_PARAMETERS angstrom
-2.567 4.628 -12.357
2.248 -2.256 -1.312
-3.706 -3.400 -0.504
```


Record 9
# Nb2SbP

Crystalline Nb2SbP at its relaxed geometry (GGA-PBE, the Alexandria database). Values from VASP.

Computed properties:
space-group type: I-42d (122)
ΔE_f (raw): 339 meV/atom

Structure (Quantum ESPRESSO input):
```
&SYSTEM
  ibrav = 0, nat = 8, ntyp = 3
/
ATOMIC_SPECIES
Sb 121.76 Sb.upf
Nb 92.91 Nb.upf
P 30.97 P.upf
ATOMIC_POSITIONS crystal
Sb 0.000 0.000 0.000
Sb 0.750 0.250 0.500
Nb 0.540 0.125 0.250
Nb 0.210 0.625 0.250
Nb 0.375 0.460 0.750
Nb 0.875 0.790 0.750
P 0.500 0.500 0.000
P 0.250 0.750 0.500
CELL_PARAMETERS angstrom
5.108 0.000 0.000
0.000 5.108 0.000
2.554 2.554 7.483
```


Record 10
# NbSbP

Crystalline NbSbP at its relaxed geometry (GGA-PBE, the Alexandria database). Values from VASP.

Computed properties:
space-group type: P1 (1)
ΔE_f (raw): -271 meV/atom

Structure (Quantum ESPRESSO input):
```
&SYSTEM
  ibrav = 0, nat = 6, ntyp = 3
/
ATOMIC_SPECIES
Nb 92.91 Nb.upf
Sb 121.76 Sb.upf
P 30.97 P.upf
ATOMIC_POSITIONS crystal
Nb 0.752 0.183 0.098
Nb 0.301 0.686 0.581
Sb 0.087 0.167 0.723
Sb 0.005 0.651 0.925
P 0.519 0.419 0.350
P 0.241 0.981 0.307
CELL_PARAMETERS angstrom
3.552 -0.135 -0.089
-1.931 5.242 0.114
-1.858 -1.304 6.457
```


Record 11
# NbSbP

Crystalline NbSbP at its relaxed geometry (GGA-PBE, the Alexandria database). Values from VASP.

Computed properties:
space-group type: Cmcm (63)
ΔE_f (raw): -461 meV/atom

Structure (Quantum ESPRESSO input):
```
&SYSTEM
  ibrav = 0, nat = 12, ntyp = 3
/
ATOMIC_SPECIES
Nb 92.91 Nb.upf
Sb 121.76 Sb.upf
P 30.97 P.upf
ATOMIC_POSITIONS crystal
Nb 0.000 0.795 0.250
Nb 0.000 0.205 0.750
Nb 0.500 0.295 0.250
Nb 0.500 0.705 0.750
Sb 0.000 0.448 0.250
Sb 0.000 0.552 0.750
Sb 0.500 0.948 0.250
Sb 0.500 0.052 0.750
P 0.000 0.175 0.250
P 0.000 0.825 0.750
P 0.500 0.675 0.250
P 0.500 0.325 0.750
CELL_PARAMETERS angstrom
-1.998 2.718 0.695
2.806 -1.763 14.960
3.863 2.937 -0.378
```


Record 12
# NbSbP

Crystalline NbSbP at its relaxed geometry (GGA-PBE, the Alexandria database). Values from VASP.

Computed properties:
space-group type: C2/m (12)
ΔE_f (raw): -417 meV/atom

Structure (Quantum ESPRESSO input):
```
&SYSTEM
  ibrav = 0, nat = 6, ntyp = 3
/
ATOMIC_SPECIES
Sb 121.76 Sb.upf
P 30.97 P.upf
Nb 92.91 Nb.upf
ATOMIC_POSITIONS crystal
Sb 0.045 0.045 0.632
Sb 0.955 0.955 0.368
P 0.665 0.665 0.843
P 0.335 0.335 0.157
Nb 0.204 0.204 0.914
Nb 0.796 0.796 0.086
CELL_PARAMETERS angstrom
3.355 0.009 -0.088
-0.008 3.355 -0.088
-1.508 -1.516 11.331
```


Record 13
# NbSbP

Crystalline NbSbP at its relaxed geometry (GGA-PBE, the Alexandria database). Values from VASP.

Computed properties:
space-group type: P4/nmm (129)
ΔE_f (raw): -372 meV/atom

Structure (Quantum ESPRESSO input):
```
&SYSTEM
  ibrav = 0, nat = 6, ntyp = 3
/
ATOMIC_SPECIES
Nb 92.91 Nb.upf
Sb 121.76 Sb.upf
P 30.97 P.upf
ATOMIC_POSITIONS crystal
Nb 0.000 0.500 0.272
Nb 0.500 0.000 0.728
Sb 0.000 0.500 0.880
Sb 0.500 0.000 0.120
P 0.000 0.000 0.500
P 0.500 0.500 0.500
CELL_PARAMETERS angstrom
-2.275 -2.824 0.958
2.982 -2.134 0.790
-0.107 2.646 7.546
```


Record 14
# NbSbP

Crystalline NbSbP at its relaxed geometry (GGA-PBE, the Alexandria database). Values from VASP.

Computed properties:
space-group type: I4/mmm (139)
ΔE_f (raw): -340 meV/atom

Structure (Quantum ESPRESSO input):
```
&SYSTEM
  ibrav = 0, nat = 12, ntyp = 3
/
ATOMIC_SPECIES
Nb 92.91 Nb.upf
Sb 121.76 Sb.upf
P 30.97 P.upf
ATOMIC_POSITIONS crystal
Nb 0.000 0.000 0.846
Nb 0.000 0.000 0.154
Nb 0.500 0.500 0.346
Nb 0.500 0.500 0.654
Sb 0.000 0.000 0.578
Sb 0.000 0.000 0.422
Sb 0.500 0.500 0.078
Sb 0.500 0.500 0.922
P 0.000 0.500 0.250
P 0.000 0.500 0.750
P 0.500 0.000 0.750
P 0.500 0.000 0.250
CELL_PARAMETERS angstrom
3.588 0.000 0.000
0.000 3.588 0.000
0.000 0.000 19.060
```


Record 15
# Nb3SbP

Crystalline Nb3SbP at its relaxed geometry (GGA-PBE, the Alexandria database). Values from VASP.

Computed properties:
space-group type: Pm-3m (221)
ΔE_f (raw): 108 meV/atom

Structure (Quantum ESPRESSO input):
```
&SYSTEM
  ibrav = 0, nat = 5, ntyp = 3
/
ATOMIC_SPECIES
Sb 121.76 Sb.upf
Nb 92.91 Nb.upf
P 30.97 P.upf
ATOMIC_POSITIONS crystal
Sb 0.500 0.500 0.500
Nb 0.000 0.500 0.000
Nb 0.000 0.000 0.500
Nb 0.500 0.000 0.000
P 0.000 0.000 0.000
CELL_PARAMETERS angstrom
4.652 0.000 0.000
0.000 4.652 0.000
0.000 0.000 4.652
```


Record 16
# NbSbP

Crystalline NbSbP at its relaxed geometry (GGA-PBE, the Alexandria database). Values from VASP.

Computed properties:
space-group type: C2/m (12)
ΔE_f (raw): -421 meV/atom

Structure (Quantum ESPRESSO input):
```
&SYSTEM
  ibrav = 0, nat = 12, ntyp = 3
/
ATOMIC_SPECIES
Nb 92.91 Nb.upf
Sb 121.76 Sb.upf
P 30.97 P.upf
ATOMIC_POSITIONS crystal
Nb 0.767 0.000 0.327
Nb 0.233 0.000 0.673
Nb 0.767 0.500 0.827
Nb 0.233 0.500 0.173
Sb 0.882 0.000 0.093
Sb 0.118 0.000 0.907
Sb 0.882 0.500 0.593
Sb 0.118 0.500 0.407
P 0.533 0.000 0.626
P 0.467 0.000 0.374
P 0.533 0.500 0.126
P 0.467 0.500 0.874
CELL_PARAMETERS angstrom
-1.659 -6.712 -3.582
-0.234 -1.627 3.157
-6.983 6.421 2.792
```


Record 17
# NbSb3P

Crystalline NbSb3P at its relaxed geometry (GGA-PBE, the Alexandria database). Values from VASP.

Computed properties:
space-group type: Pm-3m (221)
ΔE_f (raw): 924 meV/atom

Structure (Quantum ESPRESSO input):
```
&SYSTEM
  ibrav = 0, nat = 5, ntyp = 3
/
ATOMIC_SPECIES
Sb 121.76 Sb.upf
Nb 92.91 Nb.upf
P 30.97 P.upf
ATOMIC_POSITIONS crystal
Sb 0.000 0.500 0.000
Sb 0.000 0.000 0.500
Sb 0.500 0.000 0.000
Nb 0.500 0.500 0.500
P 0.000 0.000 0.000
CELL_PARAMETERS angstrom
5.070 0.000 0.000
0.000 5.070 0.000
0.000 0.000 5.070
```


Record 18
# NbSiSbP2

Crystalline NbSiSbP2 at its relaxed geometry (GGA-PBE, the Alexandria database). Values from VASP.

Computed properties:
space-group type: P4/mmm (123)
ΔE_f (raw): 765 meV/atom

Structure (Quantum ESPRESSO input):
```
&SYSTEM
  ibrav = 0, nat = 5, ntyp = 4
/
ATOMIC_SPECIES
Sb 121.76 Sb.upf
Nb 92.91 Nb.upf
Si 28.09 Si.upf
P 30.97 P.upf
ATOMIC_POSITIONS crystal
Sb 0.500 0.500 0.500
Nb 0.000 0.500 0.000
Si 0.000 0.000 0.000
P 0.000 0.000 0.500
P 0.500 0.000 0.000
CELL_PARAMETERS angstrom
4.442 0.000 0.000
0.000 5.044 0.000
0.000 0.000 4.442
```


Record 19
# TaNbSb2P

Crystalline TaNbSb2P at its relaxed geometry (GGA-PBE, the Alexandria database). Values from VASP.

Computed properties:
space-group type: P4/mmm (123)
ΔE_f (raw): 1241 meV/atom

Structure (Quantum ESPRESSO input):
```
&SYSTEM
  ibrav = 0, nat = 5, ntyp = 4
/
ATOMIC_SPECIES
Sb 121.76 Sb.upf
Nb 92.91 Nb.upf
P 30.97 P.upf
Ta 180.95 Ta.upf
ATOMIC_POSITIONS crystal
Sb 0.000 0.000 0.500
Sb 0.500 0.000 0.000
Nb 0.000 0.000 0.000
P 0.500 0.500 0.500
Ta 0.000 0.500 0.000
CELL_PARAMETERS angstrom
-0.035 1.073 -5.126
-0.086 -4.830 -1.011
-5.236 0.082 0.053
```


Record 20
# NbSbTe2P

Crystalline NbSbTe2P at its relaxed geometry (GGA-PBE, the Alexandria database). Values from VASP.

Computed properties:
space-group type: P4/mmm (123)
ΔE_f (raw): 707 meV/atom

Structure (Quantum ESPRESSO input):
```
&SYSTEM
  ibrav = 0, nat = 5, ntyp = 4
/
ATOMIC_SPECIES
Sb 121.76 Sb.upf
Nb 92.91 Nb.upf
Te 127.60 Te.upf
P 30.97 P.upf
ATOMIC_POSITIONS crystal
Sb 0.000 0.000 0.500
Nb 0.000 0.000 0.000
Te 0.000 0.500 0.000
Te 0.500 0.000 0.000
P 0.500 0.500 0.500
CELL_PARAMETERS angstrom
-1.478 1.416 4.927
0.072 -5.122 1.494
5.288 0.496 1.444
```